DFT (PBEsol) results for an optimized crystal structure of TcBrCl2.

Mass density = 5.13 g/cm³
Fermi-level density of states = 3.11 states/eV/f.u.
Size of the total moment = 0.00 μB/cell
Energy above the lowest structure with this stoichiometry = 0 meV per atom
Energy relative to the elements, uncorrected = -0.1125 eV/atom

CIF file:
```
data_TcBrCl2
_chemical_formula_sum 'Tc3 Br3 Cl6'
_symmetry_space_group_name_H-M 'R -3 m'
_symmetry_Int_Tables_number 166
_symmetry_space_group_name_Hall '-R 3 2"'
_cell_length_a 3.1792
_cell_length_b 3.1792
_cell_length_c 27.6086
_cell_angle_alpha 90.00
_cell_angle_beta 90.00
_cell_angle_gamma 120.00
loop_
_atom_site_label
_atom_site_type_symbol
_atom_site_fract_x
_atom_site_fract_y
_atom_site_fract_z
Tc1 Tc 0.0000 0.0000 0.0000
Br1 Br 0.0000 0.0000 0.5000
Cl1 Cl 0.0000 0.0000 0.2770
```

DFT (PBEsol) results for an optimized crystal structure of TcBrCl2.

Mass density = 4.82 g/cm³
Fermi-level density of states = 3.63 states/eV/f.u.
Size of the total moment = 0.89 μB/cell
Energy above the lowest structure with this stoichiometry = 110 meV per atom
Energy relative to the elements, uncorrected = -0.0023 eV/atom

CIF file:
```
data_TcBrCl2
_chemical_formula_sum 'Tc2 Br2 Cl4'
_symmetry_space_group_name_H-M 'C m m m'
_symmetry_Int_Tables_number 65
_symmetry_space_group_name_Hall '-C 2 2'
_cell_length_a 2.8920
_cell_length_b 5.6797
_cell_length_c 10.4308
_cell_angle_alpha 90.00
_cell_angle_beta 90.00
_cell_angle_gamma 90.00
loop_
_atom_site_label
_atom_site_type_symbol
_atom_site_fract_x
_atom_site_fract_y
_atom_site_fract_z
Tc1 Tc 0.0000 0.0000 0.0000
Br1 Br 0.0000 0.0000 0.5000
Cl1 Cl 0.0000 0.5000 0.1761
```

DFT (PBEsol) results for an optimized crystal structure of TcBrCl2.

Mass density = 5.50 g/cm³
Fermi-level density of states = 5.08 states/eV/f.u.
Size of the total moment = 0.01 μB/cell
Energy above the lowest structure with this stoichiometry = 361 meV per atom
Energy relative to the elements, uncorrected = 0.2487 eV/atom

CIF file:
```
data_TcBrCl2
_chemical_formula_sum 'Tc1 Br1 Cl2'
_symmetry_space_group_name_H-M 'P 4 m m'
_symmetry_Int_Tables_number 99
_cell_length_a 3.0360
_cell_length_b 3.0360
_cell_length_c 8.1504
_cell_angle_alpha 90.00
_cell_angle_beta 90.00
_cell_angle_gamma 90.00
loop_
_symmetry_equiv_pos_as_xyz
'x,y,z'
'-y,x,z'
'-x,-y,z'
'y,-x,z'
'-x,y,z'
'y,x,z'
'x,-y,z'
'-y,-x,z'
loop_
_atom_site_label
_atom_site_type_symbol
_atom_site_fract_x
_atom_site_fract_y
_atom_site_fract_z
Tc1 Tc 0.0000 0.0000 0.0000
Br1 Br 0.5000 0.5000 0.1820
Cl1 Cl 0.0000 0.0000 0.4842
Cl2 Cl 0.5000 0.5000 0.8159
```

DFT (PBEsol) results for an optimized crystal structure of TcBrCl2.

Mass density = 4.95 g/cm³
Fermi-level density of states = 3.52 states/eV/f.u.
Size of the total moment = 4.60 μB/cell
Energy above the lowest structure with this stoichiometry = 926 meV per atom
Energy relative to the elements, uncorrected = 0.8133 eV/atom

CIF file:
```
data_TcBrCl2
_chemical_formula_sum 'Tc1 Br1 Cl2'
_symmetry_space_group_name_H-M 'P 4/m m m'
_symmetry_Int_Tables_number 123
_symmetry_space_group_name_Hall '-P 4 2'
_cell_length_a 4.5209
_cell_length_b 4.5209
_cell_length_c 4.0877
_cell_angle_alpha 90.00
_cell_angle_beta 90.00
_cell_angle_gamma 90.00
loop_
_atom_site_label
_atom_site_type_symbol
_atom_site_fract_x
_atom_site_fract_y
_atom_site_fract_z
Tc1 Tc 0.0000 0.0000 0.0000
Br1 Br 0.5000 0.5000 0.0000
Cl1 Cl 0.0000 0.5000 0.5000
```

- Look up the mass density of the third one.
  5.50 g/cm³